No. 1
Material: CeSmSi2Pt5
Method: DFT, PBE-GGA
State: relaxed

Lattice parameters (Å, degrees): 4.2754 4.2754 8.9345 90.00 90.00 90.00
With the nearest neighbours (Å) after each atom.
Fractional positions:
Ce: 0.0000 0.0000 0.0000  8 Pt 3.18, 8 Si 3.25
Sm: 0.0000 0.0000 0.5000  12 Pt 3.00-3.02
Si: 0.5000 0.5000 0.1348  1 Si 2.41, 4 Pt 2.43
Si: 0.5000 0.5000 0.8652  1 Si 2.41, 4 Pt 2.43
Pt: 0.0000 0.5000 0.2640  2 Si 2.43
Pt: 0.5000 0.0000 0.2640  2 Si 2.43
Pt: 0.0000 0.5000 0.7360  2 Si 2.43
Pt: 0.5000 0.0000 0.7360  2 Si 2.43
Pt: 0.5000 0.5000 0.5000  8 Pt 3.00, 4 Sm 3.02, 2 Si 3.26

Output
Size of the total moment: 0.79 μB per cell
Energy relative to the elements, uncorrected: -1.035 eV per atom

=====

No. 2
Material: Ce2SmSi2Pt2
Method: DFT, PBE-GGA
State: relaxed

Lattice parameters (Å, degrees): 4.2668 4.2668 9.5829 77.14 77.14 60.00
With the nearest neighbours (Å) after each atom.
Fractional positions:
Ce: 0.1385 0.1385 0.5846  3 Ce 2.92, 3 Si 3.03, 3 Pt 3.09
Ce: 0.8615 0.8615 0.4154  3 Ce 2.92, 3 Si 3.03, 3 Pt 3.09
Sm: 0.0000 0.0000 0.0000  6 Pt 3.16, 6 Si 3.23
Si: 0.7417 0.7417 0.7750  3 Pt 2.47
Si: 0.2583 0.2583 0.2250  3 Pt 2.47
Pt: 0.5955 0.5955 0.2134  3 Si 2.47
Pt: 0.4045 0.4045 0.7866  3 Si 2.47

Output
Size of the total moment: 0.87 μB per cell
Energy relative to the elements, uncorrected: -0.968 eV per atom

=====

No. 3
Material: Ce2SmSi3Pt4
Method: DFT, PBE-GGA
State: relaxed

Lattice parameters (Å, degrees): 4.2532 4.2532 11.0455 90.00 90.00 90.00
With the nearest neighbours (Å) after each atom.
Fractional positions:
Ce: 0.5000 0.0000 0.2258  8 Pt 3.23-3.28, 4 Si 3.24
Ce: 0.0000 0.5000 0.7742  8 Pt 3.23-3.28, 4 Si 3.24
Sm: 0.5000 0.5000 0.5000  4 Pt 2.82, 4 Si 3.01
Si: 0.0000 0.0000 0.5000  4 Pt 2.82, 4 Sm 3.01
Si: 0.5000 0.0000 0.8837  5 Pt 2.38-2.48
Si: 0.0000 0.5000 0.1163  5 Pt 2.38-2.48
Pt: 0.5000 0.5000 0.0000  4 Si 2.48
Pt: 0.0000 0.0000 0.0000  4 Si 2.48
Pt: 0.5000 0.0000 0.6679  1 Si 2.38
Pt: 0.0000 0.5000 0.3321  1 Si 2.38

Output
Size of the total moment: 1.31 μB per cell
Energy relative to the elements, uncorrected: -0.988 eV per atom

=====

No. 4
Material: Ce3Si2SnPt9
Method: DFT, PBE-GGA
State: relaxed

Lattice parameters (Å, degrees): 6.5226 6.5226 9.0543 90.00 90.00 120.00
With the nearest neighbours (Å) after each atom.
Fractional positions:
Ce: 0.3333 0.6667 0.7285  9 Pt 3.10-3.27
Ce: 0.0000 0.0000 0.0000  6 Pt 2.89
Ce: 0.6667 0.3333 0.2715  9 Pt 3.10-3.27
Si: 0.3333 0.6667 0.1774  6 Pt 2.28-2.48
Si: 0.6667 0.3333 0.8226  6 Pt 2.28-2.48
Sn: 0.0000 0.0000 0.5000  6 Pt 2.68
Pt: 0.8563 0.1437 0.7354  1 Si 2.28
Pt: 0.8563 0.7125 0.7354  1 Si 2.28
Pt: 0.2875 0.1437 0.7354  1 Si 2.28
Pt: 0.7125 0.8563 0.2646  1 Si 2.28
Pt: 0.1437 0.2875 0.2646  1 Si 2.28
Pt: 0.1437 0.8563 0.2646  1 Si 2.28
Pt: 0.5000 0.0000 0.0000  2 Si 2.48
Pt: 0.0000 0.5000 0.0000  2 Si 2.48
Pt: 0.5000 0.5000 0.0000  2 Si 2.48

Output
Size of the total moment: 2.31 μB per cell
Energy relative to the elements, uncorrected: -0.699 eV per atom

=====

No. 5
Material: Ce2SiSnPt6
Method: DFT, PBE-GGA
State: relaxed

Lattice parameters (Å, degrees): 6.9493 6.4983 6.9495 79.86 46.47 99.00
With the nearest neighbours (Å) after each atom.
Fractional positions:
Ce: 0.7475 0.2144 0.5334  4 Pt 2.91-3.17
Ce: 0.2525 0.7856 0.4666  4 Pt 2.91-3.17
Si: 0.0000 0.0000 0.0000  6 Pt 2.42-2.44
Sn: 0.5000 0.5000 0.0000  6 Pt 2.66-2.69
Pt: 0.2344 0.2187 0.5195  1 Si 2.44, 1 Sn 2.69, 1 Pt 2.72
Pt: 0.7546 0.6035 0.1498  1 Si 2.42, 1 Sn 2.66
Pt: 0.2618 0.7816 0.9847  1 Si 2.44, 1 Sn 2.69, 1 Pt 2.72
Pt: 0.7382 0.2184 0.0153  1 Si 2.44, 1 Sn 2.69, 1 Pt 2.72
Pt: 0.2454 0.3965 0.8502  1 Si 2.42, 1 Sn 2.66
Pt: 0.7656 0.7813 0.4805  1 Si 2.44, 1 Sn 2.69, 1 Pt 2.72

Output
Size of the total moment: 1.42 μB per cell
Energy relative to the elements, uncorrected: -0.799 eV per atom

=====

No. 6
Material: SrCeSi2Pt5
Method: DFT, PBE-GGA
State: relaxed

Lattice parameters (Å, degrees): 4.1477 4.1477 11.3472 90.00 90.00 90.00
With the nearest neighbours (Å) after each atom.
Fractional positions:
Sr: 0.0000 0.0000 0.5000  4 Pt 2.93
Ce: 0.0000 0.0000 0.0000  8 Pt 2.98
Si: 0.5000 0.5000 0.2939  5 Pt 2.34-2.39
Si: 0.5000 0.5000 0.7061  5 Pt 2.34-2.39
Pt: 0.0000 0.5000 0.1886  2 Si 2.39
Pt: 0.5000 0.0000 0.1886  2 Si 2.39
Pt: 0.0000 0.5000 0.8114  2 Si 2.39
Pt: 0.5000 0.0000 0.8114  2 Si 2.39
Pt: 0.5000 0.5000 0.5000  2 Si 2.34

Output
Size of the total moment: 0.55 μB per cell
Energy relative to the elements, uncorrected: -0.852 eV per atom

=====

No. 7
Material: Sr2CeSi3Pt4
Method: DFT, PBE-GGA
State: relaxed

Lattice parameters (Å, degrees): 4.3943 4.3943 10.7622 90.00 90.00 90.00
With the nearest neighbours (Å) after each atom.
Fractional positions:
Sr: 0.5000 0.0000 0.2300  8 Pt 3.31, 7 Si 3.36-3.67, 2 Ce 3.64
Sr: 0.0000 0.5000 0.7700  8 Pt 3.31, 7 Si 3.36-3.67, 2 Ce 3.64
Ce: 0.5000 0.5000 0.5000  4 Pt 2.82, 4 Si 3.11
Si: 0.0000 0.0000 0.5000  4 Pt 2.82, 4 Ce 3.11
Si: 0.5000 0.0000 0.8887  5 Pt 2.41-2.50
Si: 0.0000 0.5000 0.1113  5 Pt 2.41-2.50
Pt: 0.5000 0.5000 0.0000  4 Si 2.50
Pt: 0.0000 0.0000 0.0000  4 Si 2.50
Pt: 0.5000 0.0000 0.6644  1 Si 2.41
Pt: 0.0000 0.5000 0.3356  1 Si 2.41

Output
Size of the total moment: 0.50 μB per cell
Energy relative to the elements, uncorrected: -0.892 eV per atom

=====

No. 8
Material: TbCeSi2Pt5
Method: DFT, PBE-GGA
State: relaxed

Lattice parameters (Å, degrees): 4.2305 4.2305 8.9964 90.00 90.00 90.00
With the nearest neighbours (Å) after each atom.
Fractional positions:
Tb: 0.0000 0.0000 0.0000  8 Pt 3.17, 8 Si 3.21
Ce: 0.0000 0.0000 0.5000  12 Pt 2.99-3.00
Si: 0.5000 0.5000 0.1307  1 Si 2.35, 4 Pt 2.43
Si: 0.5000 0.5000 0.8693  1 Si 2.35, 4 Pt 2.43
Pt: 0.0000 0.5000 0.2631  2 Si 2.43
Pt: 0.5000 0.0000 0.2631  2 Si 2.43
Pt: 0.0000 0.5000 0.7369  2 Si 2.43
Pt: 0.5000 0.0000 0.7369  2 Si 2.43
Pt: 0.5000 0.5000 0.5000  4 Ce 2.99, 8 Pt 3.00, 2 Si 3.32

Output
Size of the total moment: 0.47 μB per cell
Energy relative to the elements, uncorrected: -1.040 eV per atom

=====

Q: Which of these has the highest energy relative to the elements, uncorrected?
A: Ce3Si2SnPt9